RbVF3 | GGA+U | relaxed

Cell lengths 8.092, 8.092, 5.708 Å; angles 91.46, 91.46, 86.39 degrees
Element x y z (fractional)
Rb  0.095  0.300  0.307
Rb  0.300  0.095  0.807
Rb  0.700  0.905  0.193
Rb  0.905  0.700  0.693
V  0.267  0.733  0.250
V  0.427  0.573  0.750
V  0.573  0.427  0.250
V  0.733  0.267  0.750
F  0.021  0.743  0.143
F  0.206  0.604  0.556
F  0.257  0.979  0.357
F  0.338  0.483  0.075
F  0.396  0.794  0.944
F  0.483  0.338  0.575
F  0.517  0.662  0.425
F  0.604  0.206  0.056
F  0.662  0.517  0.925
F  0.743  0.021  0.643
F  0.794  0.396  0.444
F  0.979  0.257  0.857

Output
**Calculated density**: 3.45 g/cm³
**SG**: C2/c
**M_tot**: 12.00 μB/cell
**Electronic total energy**: -5.48 eV/atom